6
Lattice="3.927 0.000 0.000 -1.961 5.657 0.000 -1.954 -1.318 6.224" Properties=species:S:1:pos:R:3 comment="YZrIr PBE relaxed" magmom_total_mub_per_fu=0.00 e_above_lowest_polymorph_ev_per_atom=0.0216 e_form_kj_per_mol_atoms=-64.4 total_energy_ev_per_atom=-8.62 dos_ef_per_ev_fu=2.8 sg="No. 2" pbc="T T T"
Y 0.003 1.553 0.913
Y 0.009 2.786 5.311
Zr -1.958 3.797 2.635
Zr 1.969 0.543 3.588
Ir 0.007 -0.507 5.027
Ir 0.004 4.846 1.197